Entry 1:
Density functional theory data (GGA-PBE) for crystalline MnZnCo2 at its relaxed geometry.

## Properties
Density of states at the Fermi level, states/eV/atom: 0.90
E_form, eV/atom: 0.031

a = 2.892 Å, b = 4.068 Å, c = 8.234 Å
α = 90.00°, β = 90.00°, γ = 90.00°
Positions (direct):
Mn: 0.000 0.000 0.000
Mn: 0.500 0.500 0.500
Zn: 0.000 0.500 0.235
Zn: 0.500 0.000 0.735
Co: 0.000 0.000 0.483
Co: 0.000 0.500 0.748
Co: 0.500 0.000 0.248
Co: 0.500 0.500 0.983



Entry 2:
Density functional theory data (GGA-PBE) for crystalline BeSb2Te at its relaxed geometry.

## Properties
Density of states at the Fermi level, states/eV/atom: 0.37
Energy relative to the elements, uncorrected, eV/atom: 0.251

a = 6.339 Å, b = 6.339 Å, c = 12.045 Å
α = 90.00°, β = 90.00°, γ = 90.00°
Positions (direct):
Be: 0.000 0.000 0.000
Be: 0.000 0.500 0.250
Be: 0.500 0.000 0.750
Be: 0.500 0.500 0.500
Sb: 0.163 0.250 0.125
Sb: 0.250 0.663 0.375
Sb: 0.250 0.837 0.875
Sb: 0.337 0.250 0.625
Sb: 0.663 0.750 0.625
Sb: 0.750 0.163 0.875
Sb: 0.750 0.337 0.375
Sb: 0.837 0.750 0.125
Te: 0.000 0.000 0.500
Te: 0.000 0.500 0.750
Te: 0.500 0.000 0.250
Te: 0.500 0.500 0.000



Entry 3:
Density functional theory data (GGA-PBE) for crystalline Nd6Ho8Pb at its relaxed geometry.

## Properties
Density of states at the Fermi level, states/eV/atom: 1.26
E_form, eV/atom: 0.064

a = 9.442 Å, b = 9.442 Å, c = 6.460 Å
α = 90.00°, β = 90.00°, γ = 120.00°
Positions (direct):
Nd: 0.090 0.449 0.319
Nd: 0.360 0.910 0.319
Nd: 0.449 0.360 0.681
Nd: 0.551 0.640 0.319
Nd: 0.640 0.090 0.681
Nd: 0.910 0.551 0.681
Ho: 0.037 0.263 0.816
Ho: 0.226 0.963 0.816
Ho: 0.263 0.226 0.184
Ho: 0.333 0.667 0.841
Ho: 0.667 0.333 0.159
Ho: 0.737 0.774 0.816
Ho: 0.774 0.037 0.184
Ho: 0.963 0.737 0.184
Pb: 0.000 0.000 0.500



Entry 4:
Density functional theory data (GGA-PBE) for crystalline Y6Tl2Au at its relaxed geometry.

## Properties
Density of states at the Fermi level, states/eV/atom: 1.32
E_form, eV/atom: -0.299

a = 6.311 Å, b = 8.569 Å, c = 11.444 Å
α = 90.00°, β = 120.17°, γ = 90.00°
Positions (direct):
Y: 0.068 0.170 0.443
Y: 0.068 0.330 0.943
Y: 0.336 0.684 0.444
Y: 0.336 0.816 0.944
Y: 0.397 0.032 0.276
Y: 0.397 0.468 0.776
Y: 0.603 0.532 0.224
Y: 0.603 0.968 0.724
Y: 0.664 0.184 0.056
Y: 0.664 0.316 0.556
Y: 0.932 0.670 0.057
Y: 0.932 0.830 0.557
Tl: 0.174 0.124 0.752
Tl: 0.174 0.376 0.252
Tl: 0.826 0.624 0.748
Tl: 0.826 0.876 0.248
Au: 0.000 0.000 0.000
Au: 0.000 0.500 0.500



Entry 5:
Density functional theory data (GGA-PBE) for crystalline Al2CoHg at its relaxed geometry.

## Properties
Density of states at the Fermi level, states/eV/atom: 0.61
E_form, eV/atom: 0.046

a = 8.592 Å, b = 2.978 Å, c = 4.989 Å
α = 90.00°, β = 101.44°, γ = 90.00°
Positions (direct):
Al: 0.231 0.000 0.206
Al: 0.269 0.500 0.794
Al: 0.731 0.500 0.206
Al: 0.769 0.000 0.794
Co: 0.000 0.500 0.000
Co: 0.500 0.000 0.000
Hg: 0.000 0.000 0.500
Hg: 0.500 0.500 0.500



Entry 6:
Density functional theory data (GGA-PBE) for crystalline PrHoTm2Sc4 at its relaxed geometry.

## Properties
Density of states at the Fermi level, states/eV/atom: 2.26
E_form, eV/atom: 0.443

a = 9.072 Å, b = 9.072 Å, c = 6.527 Å
α = 111.08°, β = 111.08°, γ = 88.35°
Positions (direct):
Pr: 0.000 0.000 0.000
Pr: 0.000 0.000 0.500
Ho: 0.000 0.500 0.000
Ho: 0.500 0.000 0.500
Tm: 0.000 0.500 0.500
Tm: 0.500 0.000 0.000
Tm: 0.500 0.500 0.000
Tm: 0.500 0.500 0.500
Sc: 0.253 0.255 0.505
Sc: 0.254 0.746 0.000
Sc: 0.254 0.746 0.500
Sc: 0.255 0.253 0.005
Sc: 0.745 0.747 0.995
Sc: 0.746 0.254 0.000
Sc: 0.746 0.254 0.500
Sc: 0.747 0.745 0.495



Entry 7:
Density functional theory data (GGA-PBE) for crystalline ReBiAsH2 at its relaxed geometry.

## Properties
Density of states at the Fermi level, states/eV/atom: 0.52
Total DFT energy (no corrections), eV per atom: -4.7344

a = 3.720 Å, b = 3.720 Å, c = 5.765 Å
α = 90.00°, β = 90.00°, γ = 90.00°
Positions (direct):
Re: 0.000 0.000 0.000
Bi: 0.000 0.000 0.500
As: 0.500 0.500 0.000
H: 0.000 0.500 0.500
H: 0.500 0.000 0.500



Entry 8:
Density functional theory data (GGA-PBE) for crystalline LiCoIr at its relaxed geometry.

## Properties
Density of states at the Fermi level, states/eV/atom: 0.88
E_form, eV/atom: 0.043

a = 4.091 Å, b = 4.091 Å, c = 2.555 Å
α = 90.00°, β = 90.00°, γ = 120.00°
Positions (direct):
Li: 0.000 0.000 0.000
Co: 0.333 0.667 0.173
Ir: 0.667 0.333 0.598



Q: The lowest density of states at the Fermi level belongs to which entry?
A: BeSb2Te



Q: The highest density of states at the Fermi level belongs to which entry?
A: PrHoTm2Sc4